No. 1
# TcHgPt2

An optimized crystal structure of TcHgPt2 (GGA-PBE, Alexandria via LeMat-Bulk).

mass density	17164	kg/m³
energy relative to the elements	0.063	eV/atom
raw total energy	-5.62	eV/atom

```
data_TcHgPt2
_cell_length_a 9.5303
_cell_length_b 9.5303
_cell_length_c 9.5303
_cell_angle_alpha 17.28
_cell_angle_beta 17.28
_cell_angle_gamma 17.28
_symmetry_space_group_name_H-M 'P 1'
_symmetry_Int_Tables_number 1
loop_
_symmetry_equiv_pos_as_xyz
'x,y,z'
loop_
_atom_site_label
_atom_site_fract_x
_atom_site_fract_y
_atom_site_fract_z
_atom_site_occupancy
Tc1 0.0000 0.0000 0.0000 1
Hg1 0.5000 0.5000 0.5000 1
Pt1 0.2567 0.2567 0.2567 1
Pt2 0.7433 0.7433 0.7433 1
```


No. 2
# TcHgPt2

An optimized crystal structure of TcHgPt2 (GGA-PBE, Alexandria via LeMat-Bulk).

mass density	17297	kg/m³
energy relative to the elements	0.094	eV/atom
raw total energy	-5.59	eV/atom

```
data_TcHgPt2
_cell_length_a 2.8496
_cell_length_b 3.9826
_cell_length_c 5.8264
_cell_angle_alpha 90.00
_cell_angle_beta 90.00
_cell_angle_gamma 90.00
_symmetry_space_group_name_H-M 'P 1'
_symmetry_Int_Tables_number 1
loop_
_symmetry_equiv_pos_as_xyz
'x,y,z'
loop_
_atom_site_label
_atom_site_fract_x
_atom_site_fract_y
_atom_site_fract_z
_atom_site_occupancy
Tc1 0.0000 0.0000 0.0000 1
Hg1 0.0000 0.0000 0.5000 1
Pt1 0.5000 0.5000 0.2272 1
Pt2 0.5000 0.5000 0.7728 1
```


No. 3
# TcHgPt2

An optimized crystal structure of TcHgPt2 (GGA-PBE, Alexandria via LeMat-Bulk).

mass density	15314	kg/m³
energy relative to the elements	0.533	eV/atom
raw total energy	-5.15	eV/atom

```
data_TcHgPt2
_cell_length_a 5.8852
_cell_length_b 5.8852
_cell_length_c 5.8852
_cell_angle_alpha 102.80
_cell_angle_beta 102.80
_cell_angle_gamma 123.85
_symmetry_space_group_name_H-M 'P 1'
_symmetry_Int_Tables_number 1
loop_
_symmetry_equiv_pos_as_xyz
'x,y,z'
loop_
_atom_site_label
_atom_site_fract_x
_atom_site_fract_y
_atom_site_fract_z
_atom_site_occupancy
Tc1 0.0000 0.0000 0.0000 1
Tc2 0.7500 0.2500 0.5000 1
Hg1 0.2500 0.7500 0.5000 1
Hg2 0.5000 0.5000 0.0000 1
Pt1 0.0995 0.6250 0.9745 1
Pt2 0.3750 0.3495 0.4745 1
Pt3 0.6505 0.1250 0.0255 1
Pt4 0.8750 0.9005 0.5255 1
```


No. 4
# TcHgPt

An optimized crystal structure of TcHgPt (GGA-PBE, Alexandria via LeMat-Bulk).

mass density	16152	kg/m³
energy relative to the elements	0.254	eV/atom
polymorph energy (0 for the lowest one)	0.061	eV per atom
raw total energy	-5.32	eV/atom

```
data_TcHgPt
_cell_length_a 2.8824
_cell_length_b 2.8824
_cell_length_c 7.0541
_cell_angle_alpha 90.00
_cell_angle_beta 90.00
_cell_angle_gamma 120.00
_symmetry_space_group_name_H-M 'P 1'
_symmetry_Int_Tables_number 1
loop_
_symmetry_equiv_pos_as_xyz
'x,y,z'
loop_
_atom_site_label
_atom_site_fract_x
_atom_site_fract_y
_atom_site_fract_z
_atom_site_occupancy
Tc1 0.0000 0.0000 0.0000 1
Hg1 0.6667 0.3333 0.3486 1
Pt1 0.3333 0.6667 0.7036 1
```


No. 5
# TcHgPt2

An optimized crystal structure of TcHgPt2 (GGA-PBE, Alexandria via LeMat-Bulk).

mass density	16921	kg/m³
energy relative to the elements	0.240	eV/atom
raw total energy	-5.45	eV/atom

```
data_TcHgPt2
_cell_length_a 3.2507
_cell_length_b 3.2507
_cell_length_c 6.3964
_cell_angle_alpha 90.00
_cell_angle_beta 90.00
_cell_angle_gamma 90.00
_symmetry_space_group_name_H-M 'P 1'
_symmetry_Int_Tables_number 1
loop_
_symmetry_equiv_pos_as_xyz
'x,y,z'
loop_
_atom_site_label
_atom_site_fract_x
_atom_site_fract_y
_atom_site_fract_z
_atom_site_occupancy
Tc1 0.0000 0.0000 0.0000 1
Hg1 0.5000 0.5000 0.2878 1
Pt1 0.0000 0.0000 0.5578 1
Pt2 0.5000 0.5000 0.7977 1
```


No. 6
# TcHgPt2

An optimized crystal structure of TcHgPt2 (GGA-PBE, Alexandria via LeMat-Bulk).

mass density	17244	kg/m³
energy relative to the elements	0.119	eV/atom
raw total energy	-5.57	eV/atom

```
data_TcHgPt2
_cell_length_a 2.8445
_cell_length_b 2.8445
_cell_length_c 8.1968
_cell_angle_alpha 90.00
_cell_angle_beta 90.00
_cell_angle_gamma 90.00
_symmetry_space_group_name_H-M 'P 1'
_symmetry_Int_Tables_number 1
loop_
_symmetry_equiv_pos_as_xyz
'x,y,z'
loop_
_atom_site_label
_atom_site_fract_x
_atom_site_fract_y
_atom_site_fract_z
_atom_site_occupancy
Tc1 0.0000 0.0000 0.0000 1
Hg1 0.5000 0.5000 0.2682 1
Pt1 0.0000 0.0000 0.5370 1
Pt2 0.5000 0.5000 0.7860 1
```


No. 7
# TcHgPt2

An optimized crystal structure of TcHgPt2 (GGA-PBE, Alexandria via LeMat-Bulk).

mass density	17262	kg/m³
energy relative to the elements	0.155	eV/atom
raw total energy	-5.53	eV/atom

```
data_TcHgPt2
_cell_length_a 9.5191
_cell_length_b 9.5191
_cell_length_c 9.5191
_cell_angle_alpha 17.26
_cell_angle_beta 17.26
_cell_angle_gamma 17.26
_symmetry_space_group_name_H-M 'P 1'
_symmetry_Int_Tables_number 1
loop_
_symmetry_equiv_pos_as_xyz
'x,y,z'
loop_
_atom_site_label
_atom_site_fract_x
_atom_site_fract_y
_atom_site_fract_z
_atom_site_occupancy
Tc1 0.0000 0.0000 0.0000 1
Hg1 0.2458 0.2458 0.2458 1
Pt1 0.4908 0.4908 0.4908 1
Pt2 0.7411 0.7411 0.7411 1
```


No. 8
# TcHgPt2

An optimized crystal structure of TcHgPt2 (GGA-PBE, Alexandria via LeMat-Bulk).

mass density	17314	kg/m³
energy relative to the elements	0.287	eV/atom
raw total energy	-5.40	eV/atom

```
data_TcHgPt2
_cell_length_a 4.9920
_cell_length_b 2.7643
_cell_length_c 5.0662
_cell_angle_alpha 90.00
_cell_angle_beta 109.11
_cell_angle_gamma 90.00
_symmetry_space_group_name_H-M 'P 1'
_symmetry_Int_Tables_number 1
loop_
_symmetry_equiv_pos_as_xyz
'x,y,z'
loop_
_atom_site_label
_atom_site_fract_x
_atom_site_fract_y
_atom_site_fract_z
_atom_site_occupancy
Tc1 0.0000 0.0000 0.0000 1
Hg1 0.5000 0.5000 0.0000 1
Pt1 0.0000 0.5000 0.5000 1
Pt2 0.5000 0.0000 0.5000 1
```


No. 9
# TcHgPt2

An optimized crystal structure of TcHgPt2 (GGA-PBE, Alexandria via LeMat-Bulk).

mass density	17261	kg/m³
energy relative to the elements	0.195	eV/atom
raw total energy	-5.49	eV/atom

```
data_TcHgPt2
_cell_length_a 4.8599
_cell_length_b 4.8599
_cell_length_c 5.1130
_cell_angle_alpha 97.88
_cell_angle_beta 97.88
_cell_angle_gamma 33.67
_symmetry_space_group_name_H-M 'P 1'
_symmetry_Int_Tables_number 1
loop_
_symmetry_equiv_pos_as_xyz
'x,y,z'
loop_
_atom_site_label
_atom_site_fract_x
_atom_site_fract_y
_atom_site_fract_z
_atom_site_occupancy
Tc1 0.0000 0.0000 0.0000 1
Hg1 0.5000 0.5000 0.5000 1
Pt1 0.2578 0.2578 0.7700 1
Pt2 0.7422 0.7422 0.2300 1
```


No. 10
# TcHgPt2

An optimized crystal structure of TcHgPt2 (GGA-PBE, Alexandria via LeMat-Bulk).

mass density	16997	kg/m³
energy relative to the elements	0.337	eV/atom
raw total energy	-5.35	eV/atom

```
data_TcHgPt2
_cell_length_a 4.0711
_cell_length_b 4.0711
_cell_length_c 4.0601
_cell_angle_alpha 90.00
_cell_angle_beta 90.00
_cell_angle_gamma 90.00
_symmetry_space_group_name_H-M 'P 1'
_symmetry_Int_Tables_number 1
loop_
_symmetry_equiv_pos_as_xyz
'x,y,z'
loop_
_atom_site_label
_atom_site_fract_x
_atom_site_fract_y
_atom_site_fract_z
_atom_site_occupancy
Tc1 0.0000 0.0000 0.0000 1
Hg1 0.5000 0.5000 0.0000 1
Pt1 0.0000 0.5000 0.5000 1
Pt2 0.5000 0.0000 0.5000 1
```


No. 11
# TcHgPt

An optimized crystal structure of TcHgPt (GGA-PBE, Alexandria via LeMat-Bulk).

mass density	15868	kg/m³
energy relative to the elements	0.467	eV/atom
polymorph energy (0 for the lowest one)	0.274	eV per atom
raw total energy	-5.10	eV/atom

```
data_TcHgPt
_cell_length_a 4.6598
_cell_length_b 4.6598
_cell_length_c 2.7473
_cell_angle_alpha 90.00
_cell_angle_beta 90.00
_cell_angle_gamma 120.00
_symmetry_space_group_name_H-M 'P 1'
_symmetry_Int_Tables_number 1
loop_
_symmetry_equiv_pos_as_xyz
'x,y,z'
loop_
_atom_site_label
_atom_site_fract_x
_atom_site_fract_y
_atom_site_fract_z
_atom_site_occupancy
Tc1 0.0000 0.0000 0.0000 1
Hg1 0.3333 0.6667 0.5000 1
Pt1 0.6667 0.3333 0.5000 1
```


No. 12
# TcHgPt2

An optimized crystal structure of TcHgPt2 (GGA-PBE, Alexandria via LeMat-Bulk).

mass density	17166	kg/m³
energy relative to the elements	0.227	eV/atom
raw total energy	-5.46	eV/atom

```
data_TcHgPt2
_cell_length_a 4.9216
_cell_length_b 4.9216
_cell_length_c 4.9216
_cell_angle_alpha 130.89
_cell_angle_beta 130.89
_cell_angle_gamma 71.99
_symmetry_space_group_name_H-M 'P 1'
_symmetry_Int_Tables_number 1
loop_
_symmetry_equiv_pos_as_xyz
'x,y,z'
loop_
_atom_site_label
_atom_site_fract_x
_atom_site_fract_y
_atom_site_fract_z
_atom_site_occupancy
Tc1 0.0000 0.0000 0.0000 1
Hg1 0.5000 0.5000 0.0000 1
Pt1 0.2500 0.7500 0.5000 1
Pt2 0.7500 0.2500 0.5000 1
```


No. 13
# TcHgPt2

An optimized crystal structure of TcHgPt2 (GGA-PBE, Alexandria via LeMat-Bulk).

mass density	17255	kg/m³
energy relative to the elements	0.136	eV/atom
raw total energy	-5.55	eV/atom

```
data_TcHgPt2
_cell_length_a 4.8727
_cell_length_b 4.8727
_cell_length_c 5.1132
_cell_angle_alpha 98.55
_cell_angle_beta 98.55
_cell_angle_gamma 33.55
_symmetry_space_group_name_H-M 'P 1'
_symmetry_Int_Tables_number 1
loop_
_symmetry_equiv_pos_as_xyz
'x,y,z'
loop_
_atom_site_label
_atom_site_fract_x
_atom_site_fract_y
_atom_site_fract_z
_atom_site_occupancy
Tc1 0.0000 0.0000 0.0000 1
Hg1 0.2458 0.2458 0.7012 1
Pt1 0.4891 0.4891 0.4567 1
Pt2 0.7390 0.7390 0.1886 1
```


No. 14
# TcHgPt2

An optimized crystal structure of TcHgPt2 (GGA-PBE, Alexandria via LeMat-Bulk).

mass density	16788	kg/m³
energy relative to the elements	0.239	eV/atom
raw total energy	-5.45	eV/atom

```
data_TcHgPt2
_cell_length_a 5.7253
_cell_length_b 5.7253
_cell_length_c 5.7253
_cell_angle_alpha 151.72
_cell_angle_beta 129.48
_cell_angle_gamma 58.90
_symmetry_space_group_name_H-M 'P 1'
_symmetry_Int_Tables_number 1
loop_
_symmetry_equiv_pos_as_xyz
'x,y,z'
loop_
_atom_site_label
_atom_site_fract_x
_atom_site_fract_y
_atom_site_fract_z
_atom_site_occupancy
Tc1 0.0000 0.0000 0.0000 1
Hg1 0.2640 0.7640 0.5000 1
Pt1 0.5294 0.5294 0.0000 1
Pt2 0.7757 0.2757 0.5000 1
```